1.
This record from Alexandria via LeMat-Bulk describes crystalline BaHfBr2 at its relaxed geometry. The functional is PBE.

abc: 5.4705 5.4705 5.4705
angles: 60.00 60.00 60.00
Closest atoms and distances in Å follow each position.
Positions (direct):
Ba: 0.0000 0.0000 0.0000  8 Br 3.35
Hf: 0.5000 0.5000 0.5000  8 Br 3.35
Br: 0.2500 0.2500 0.2500  4 Ba 3.35, 4 Hf 3.35
Br: 0.7500 0.7500 0.7500  4 Hf 3.35, 4 Ba 3.35

Calculated values
E_form (uncorrected)	-332	meV/atom

2.
This record from Alexandria via LeMat-Bulk describes crystalline BaSrLi2Ni at its relaxed geometry. The functional is PBE.

abc: 5.3626 5.3626 5.4333
angles: 90.00 90.00 90.00
Closest atoms and distances in Å follow each position.
Positions (direct):
Ba: 0.0000 0.0000 0.0000  4 Sr 3.79, 8 Li 3.82
Sr: 0.5000 0.5000 0.0000  2 Ni 2.72
Li: 0.0000 0.5000 0.5000  2 Ni 2.68
Li: 0.5000 0.0000 0.5000  2 Ni 2.68
Ni: 0.5000 0.5000 0.5000  4 Li 2.68, 2 Sr 2.72

Calculated values
E_form	1.0	eV/f.u.

3.
This record from Alexandria via LeMat-Bulk describes crystalline Y2BiIr2 at its relaxed geometry. The functional is PBE.

abc: 5.6391 5.6391 5.6391
angles: 121.85 121.85 86.82
Closest atoms and distances in Å follow each position.
Positions (direct):
Y: 0.2500 0.7500 0.5000  4 Ir 2.86
Y: 0.7500 0.2500 0.5000  4 Ir 2.86
Bi: 0.0000 0.0000 0.0000  2 Ir 2.86
Ir: 0.3489 0.3489 0.0000  1 Ir 2.48
Ir: 0.6511 0.6511 0.0000  1 Ir 2.48

Calculated values
E_form	-2.1	eV/f.u.